Computed, not measured: BeBiI3 after structural relaxation at the GGA-PBE level of DFT.

Output
Raw formation energy   0.16 eV per atom
Fermi-level density of states   1.83 states/eV/cell
E_tot   -2.291 eV per atom
ρ   6.71 g cm⁻³
Magnetic moment   0.00 Bohr magnetons per cell

abc: 5.290 5.290 5.290
angles: 90.00 90.00 90.00
Sites, in units of the cell vectors:
1 I 0.000 0.500 0.000
2 I 0.000 0.000 0.500
3 I 0.500 0.000 0.000
4 Be 0.000 0.000 0.000
5 Bi 0.500 0.500 0.500



Computed, not measured: TaAlFeNi after structural relaxation at the GGA-PBE level of DFT.

Output
Fermi-level density of states   3.94 states/eV/cell
E_tot   -7.831 eV per atom
ρ   10.04 g cm⁻³
Calculated formation energy   -371 meV/atom
Magnetic moment   1.31 Bohr magnetons per cell

abc: 4.226 4.226 4.226
angles: 60.00 60.00 60.00
Each line ends with the local moment (μB).
Sites, in units of the cell vectors:
1 Ni 0.250 0.250 0.250  0.38
2 Al 0.000 0.000 0.000  0.01
3 Fe 0.750 0.750 0.750  0.98
4 Ta 0.500 0.500 0.500  -0.04



Computed, not measured: CdHgH2 after structural relaxation at the GGA-PBE level of DFT.

Output
E_tot   -1.718 eV per atom
ρ   7.41 g cm⁻³
Magnetic moment   0.00 Bohr magnetons per cell

abc: 7.597 3.235 5.917
angles: 78.63 83.21 93.01
Sites, in units of the cell vectors:
1 Cd 0.816 0.091 0.269
2 Cd 0.184 0.909 0.731
3 Hg 0.673 0.048 0.732
4 Hg 0.327 0.952 0.268
5 H 0.050 0.374 0.768
6 H 0.950 0.626 0.232
7 H 0.646 0.125 0.063
8 H 0.354 0.875 0.937



Computed, not measured: MgTi3Pd4 after structural relaxation at the GGA-PBE level of DFT.

Output
Fermi-level density of states   14.54 states/eV/cell
E_tot   -6.298 eV per atom
ρ   7.76 g cm⁻³
Calculated formation energy   -541 meV/atom
Magnetic moment   3.42 Bohr magnetons per cell

abc: 4.741 5.838 9.180
angles: 90.00 90.00 90.00
Each line ends with the local moment (μB).
Sites, in units of the cell vectors:
1 Mg 0.000 0.500 0.000  0.00
2 Mg 0.000 0.500 0.500  0.00
3 Pd 0.500 0.752 0.000  0.03
4 Pd 0.500 0.752 0.500  0.03
5 Pd 0.500 0.248 0.000  0.03
6 Pd 0.500 0.248 0.500  0.03
7 Pd 0.103 0.753 0.750  0.02
8 Pd 0.897 0.753 0.250  0.02
9 Pd 0.897 0.247 0.250  0.02
10 Pd 0.103 0.247 0.750  0.02
11 Ti 0.000 0.000 0.000  0.47
12 Ti 0.000 0.000 0.500  0.47
13 Ti 0.595 0.000 0.750  0.57
14 Ti 0.405 0.000 0.250  0.57
15 Ti 0.587 0.500 0.750  0.30
16 Ti 0.413 0.500 0.250  0.30



Computed, not measured: K2CdMo after structural relaxation at the GGA-PBE level of DFT.

Output
Fermi-level density of states   3.83 states/eV/cell
E_tot   -2.463 eV per atom
ρ   4.59 g cm⁻³
Calculated formation energy   1022 meV/atom
Magnetic moment   0.47 Bohr magnetons per cell

abc: 12.710 12.710 12.710
angles: 13.94 13.94 13.94
Each line ends with the local moment (μB).
Sites, in units of the cell vectors:
1 Cd 0.750 0.750 0.750  0.01
2 K 0.997 0.997 0.997  0.00
3 K 0.503 0.503 0.503  0.00
4 Mo 0.250 0.250 0.250  0.33



Computed, not measured: Ac2Ge7Pt12 after structural relaxation at the GGA-PBE level of DFT.

Output
Fermi-level density of states   9.11 states/eV/cell
E_tot   -6.035 eV per atom
ρ   14.55 g cm⁻³
Calculated formation energy   -653 meV/atom
Magnetic moment   0.00 Bohr magnetons per cell

abc: 4.191 10.192 10.192
angles: 120.00 90.00 90.00
Sites, in units of the cell vectors:
1 Ac 0.500 0.000 0.000
2 Ac 0.000 0.667 0.333
3 Ge 0.000 0.333 0.667
4 Ge 0.000 0.083 0.794
5 Ge 0.000 0.711 0.917
6 Ge 0.000 0.206 0.289
7 Ge 0.500 0.647 0.581
8 Ge 0.500 0.933 0.353
9 Ge 0.500 0.419 0.067
10 Pt 0.500 0.904 0.594
11 Pt 0.500 0.690 0.096
12 Pt 0.500 0.406 0.310
13 Pt 0.500 0.236 0.786
14 Pt 0.500 0.550 0.764
15 Pt 0.500 0.214 0.450
16 Pt 0.000 0.053 0.526
17 Pt 0.000 0.472 0.947
18 Pt 0.000 0.474 0.528
19 Pt 0.000 0.808 0.725
20 Pt 0.000 0.917 0.192
21 Pt 0.000 0.275 0.083



Computed, not measured: Pu2UAl2Ru5 after structural relaxation at the GGA-PBE level of DFT.

Output
Fermi-level density of states   48.39 states/eV/cell
E_tot   -9.704 eV per atom
ρ   12.19 g cm⁻³
Calculated formation energy   -323 meV/atom
Magnetic moment   18.98 Bohr magnetons per cell

abc: 3.441 10.087 10.087
angles: 90.00 90.00 90.00
Each line ends with the local moment (μB).
Sites, in units of the cell vectors:
1 Pu 0.000 0.669 0.169  4.96
2 Pu 0.000 0.331 0.831  4.96
3 Pu 0.000 0.169 0.331  4.96
4 Pu 0.000 0.831 0.669  4.96
5 U 0.000 0.000 0.000  0.75
6 U 0.000 0.500 0.500  0.75
7 Al 0.000 0.128 0.628  0.01
8 Al 0.000 0.872 0.372  0.01
9 Al 0.000 0.628 0.872  0.01
10 Al 0.000 0.372 0.128  0.01
11 Ru 0.500 0.200 0.070  -0.30
12 Ru 0.500 0.800 0.930  -0.30
13 Ru 0.500 0.070 0.800  -0.30
14 Ru 0.500 0.700 0.430  -0.30
15 Ru 0.500 0.930 0.200  -0.30
16 Ru 0.500 0.300 0.570  -0.30
17 Ru 0.500 0.570 0.700  -0.30
18 Ru 0.500 0.430 0.300  -0.30
19 Ru 0.500 0.500 0.000  -0.42
20 Ru 0.500 0.000 0.500  -0.42



Computed, not measured: SbTeMo4 after structural relaxation at the GGA-PBE level of DFT.

Output
Raw formation energy   0.53 eV per atom
Fermi-level density of states   3.69 states/eV/cell
E_tot   -7.905 eV per atom
ρ   9.46 g cm⁻³
Magnetic moment   0.00 Bohr magnetons per cell

abc: 5.397 5.397 5.397
angles: 60.00 60.00 60.00
Sites, in units of the cell vectors:
1 Sb 0.750 0.750 0.750
2 Te 0.000 0.000 0.000
3 Mo 0.878 0.374 0.374
4 Mo 0.374 0.374 0.878
5 Mo 0.374 0.878 0.374
6 Mo 0.374 0.374 0.374